## InGa3Au3 (PBE)

Data for a relaxed structure of InGa3Au3.

Lattice parameters (Å, degrees): 7.8347 7.8347 17.3583 90.00 90.00 120.00
Space group R-3 (No. 148, hexagonal axes)
Unique sites:
In (0.0000, 0.0000, 0.1654) (multiplicity 6)
Ga (0.0020, 0.6891, 0.6059) (multiplicity 18)
Au (0.0015, 0.6608, 0.4251) (multiplicity 18)

**Energy above the lowest structure with this stoichiometry**: 0 meV/atom
**Formation energy**: -14 kJ per mole of atoms
**Final energy**: -3.2368 eV/atom